[1]
{
  "formula": "YAl2Os",
  "functional": "PBE",
  "state": "relaxed",
  "density_g_cm3": 6.79,
  "lattice_angstrom": [[3.756, -2.171, 0.000], [3.756, 2.171, 0.000], [-2.492, 0.000, 4.993]],
  "species": ["Y", "Al", "Al", "Os"],
  "frac_coords": [[0.000, 0.000, 0.000], [0.538, 0.538, 0.615], [0.800, 0.800, 0.401], [0.192, 0.192, 0.577]]
}

=====

[2]
{
  "formula": "TlMo4",
  "functional": "PBE",
  "state": "relaxed",
  "density_g_cm3": 9.85,
  "lattice_angstrom": [[-2.112, 2.112, 5.558], [2.112, -2.112, 5.558], [2.112, 2.112, -5.558]],
  "species": ["Tl", "Mo", "Mo", "Mo", "Mo"],
  "frac_coords": [[0.000, 0.000, 0.000], [0.250, 0.750, 0.500], [0.381, 0.381, 0.000], [0.619, 0.619, 0.000], [0.750, 0.250, 0.500]]
}

=====

no.,formation enthalpy at 0 K (eV per atom)
1,-0.396
2,0.732